Record 1
{"formula": "NbSbP2O", "functional": "PBE", "state": "optimized geometry", "final_energy_ev_per_cell": -27.351, "formation_energy_uncorrected_kj_per_mol_atoms": 50.5, "spacegroup": "No. 123", "cell": [[-0.799, 1.624, 4.669], [-2.294, -4.311, 1.107], [3.360, -1.506, 1.099]], "species": ["Sb", "Nb", "O", "P", "P"], "frac_coords": [[0.000, 0.000, 0.000], [0.500, 0.500, 0.500], [0.000, 0.000, 0.500], [0.000, 0.500, 0.000], [0.500, 0.000, 0.000]]}



Record 2
{"formula": "CuGe2I", "functional": "PBE", "state": "optimized geometry", "final_energy_ev_per_cell": -27.087, "formation_energy_uncorrected_kj_per_mol_atoms": 32.3, "spacegroup": "No. 122", "cell": [[6.118, 0.000, 0.000], [0.000, 6.118, 0.000], [3.059, 3.059, 5.999]], "species": ["I", "I", "Ge", "Ge", "Ge", "Ge", "Cu", "Cu"], "frac_coords": [[0.000, 0.000, 0.000], [0.750, 0.250, 0.500], [0.522, 0.125, 0.250], [0.228, 0.625, 0.250], [0.375, 0.478, 0.750], [0.875, 0.772, 0.750], [0.500, 0.500, 0.000], [0.250, 0.750, 0.500]]}



What did the second record say?
{"formula": "CuGe2I", "functional": "PBE", "state": "optimized geometry", "final_energy_ev_per_cell": -27.087, "formation_energy_uncorrected_kj_per_mol_atoms": 32.3, "spacegroup": "No. 122", "cell": [[6.118, 0.000, 0.000], [0.000, 6.118, 0.000], [3.059, 3.059, 5.999]], "species": ["I", "I", "Ge", "Ge", "Ge", "Ge", "Cu", "Cu"], "frac_coords": [[0.000, 0.000, 0.000], [0.750, 0.250, 0.500], [0.522, 0.125, 0.250], [0.228, 0.625, 0.250], [0.375, 0.478, 0.750], [0.875, 0.772, 0.750], [0.500, 0.500, 0.000], [0.250, 0.750, 0.500]]}



Please write out number 1 again, unchanged.
{"formula": "NbSbP2O", "functional": "PBE", "state": "optimized geometry", "final_energy_ev_per_cell": -27.351, "formation_energy_uncorrected_kj_per_mol_atoms": 50.5, "spacegroup": "No. 123", "cell": [[-0.799, 1.624, 4.669], [-2.294, -4.311, 1.107], [3.360, -1.506, 1.099]], "species": ["Sb", "Nb", "O", "P", "P"], "frac_coords": [[0.000, 0.000, 0.000], [0.500, 0.500, 0.500], [0.000, 0.000, 0.500], [0.000, 0.500, 0.000], [0.500, 0.000, 0.000]]}